DFT (GGA-PBE) results for an optimized crystal structure of La5Sn2.

a = 8.8559 Å, b = 8.8559 Å, c = 9.2812 Å
α = 95.44°, β = 95.44°, γ = 40.19°
Fractional coordinates of all 14 atoms:
La 0.1288 0.3144 0.3229
La 0.1910 0.5861 0.0585
La 0.2376 0.7624 0.7500
La 0.3144 0.1288 0.8229
La 0.4139 0.8090 0.4415
La 0.5861 0.1910 0.5585
La 0.6856 0.8712 0.1771
La 0.7624 0.2376 0.2500
La 0.8090 0.4139 0.9415
La 0.8712 0.6856 0.6771
Sn 0.1096 0.7059 0.4085
Sn 0.2941 0.8904 0.0915
Sn 0.7059 0.1096 0.9085
Sn 0.8904 0.2941 0.5915

Values from the calculation:
- Formation energy from the elements: -0.50 eV per atom
- DFT total energy: -72.2 eV/cell

---

DFT (GGA-PBE) results for an optimized crystal structure of Li2HoHg2.

a = 7.8327 Å, b = 7.8327 Å, c = 3.3092 Å
α = 90.00°, β = 90.00°, γ = 90.00°
Fractional coordinates of all 10 atoms:
Li 0.1142 0.3858 0.0000
Li 0.3858 0.8858 0.0000
Li 0.6142 0.1142 0.0000
Li 0.8858 0.6142 0.0000
Ho 0.0000 0.0000 0.0000
Ho 0.5000 0.5000 0.0000
Hg 0.1852 0.6852 0.5000
Hg 0.3148 0.1852 0.5000
Hg 0.6852 0.8148 0.5000
Hg 0.8148 0.3148 0.5000

Values from the calculation:
- Formation energy from the elements: -0.31 eV per atom
- ΔE to the lowest computed polymorph: 23.8 meV per atom
- DFT total energy: -21.2 eV/cell